# Ti2ZnPt2

An optimized crystal structure of Ti2ZnPt2 (GGA-PBE, Alexandria via LeMat-Bulk).

Cell: 7.691 7.691 2.831 Å, 90.00 90.00 90.00°
Element x y z (fractional)
Pt 0.634 0.866 0.500
Ti 0.661 0.161 0.000
Pt 0.866 0.366 0.500
Ti 0.839 0.661 0.000
Ti 0.339 0.839 0.000
Zn 0.000 0.000 0.000
Pt 0.366 0.134 0.500
Pt 0.134 0.634 0.500
Zn 0.500 0.500 0.000
Ti 0.161 0.339 0.000

Values from the calculation:
symmetry: P4/mbm
VASP energy: -6.414 eV/atom
total magnetization: 0.031 μB/cell
energy of formation: -0.5849 eV per atom